Compound: Ba2NiO
Source: Alexandria via LeMat-Bulk
Functional: PBE with a Hubbard U
Structure: relaxed

Structure (POSCAR):
```
Ba2NiO
1.0
1.478 -1.307 4.665
0.655 3.563 3.541
-3.244 0.347 3.875
Ba O Ni
2 1 1
Direct
0.750 0.750 0.750 Ba
0.250 0.250 0.250 Ba
0.000 0.000 0.000 O
0.500 0.500 0.500 Ni
```

The space-group type is No. 225. As for the crystal system: cubic. The value obtained for the energy above the most stable polymorph in this dataset is 0.304 eV/atom. The calculation puts the total moment at 0.0 μB/cell.

***

Compound: BaNiO
Source: Alexandria via LeMat-Bulk
Functional: PBE with a Hubbard U
Structure: relaxed

Structure (POSCAR):
```
BaNiO
1.0
3.895 0.001 0.000
-3.904 8.417 -0.109
0.000 1.039 3.905
Ba O Ni
2 2 2
Direct
0.097 0.797 0.716 Ba
0.567 0.267 0.477 Ba
0.654 0.854 0.187 O
0.777 0.476 0.870 O
0.872 0.072 0.076 Ni
0.235 0.434 0.891 Ni
```

The space-group type is No. 1. As for the crystal system: triclinic. The value obtained for the energy above the most stable polymorph in this dataset is 0.312 eV/atom. The calculation puts the total moment at 0.3 μB/cell.

***

Compound: BaNi4O8
Source: Alexandria via LeMat-Bulk
Functional: PBE with a Hubbard U
Structure: relaxed

Structure (POSCAR):
```
BaNi4O8
1.0
-2.426 1.604 4.573
-2.950 -2.057 -4.054
0.872 -7.003 2.919
Ba O Ni
1 8 4
Direct
0.000 0.000 0.000 Ba
0.351 0.351 0.702 O
0.667 0.333 0.000 O
0.649 0.000 0.702 O
0.649 0.649 0.298 O
0.000 0.351 0.298 O
0.333 0.667 0.000 O
0.000 0.649 0.702 O
0.351 0.000 0.298 O
0.667 0.333 0.239 Ni
0.333 0.667 0.761 Ni
0.667 0.333 0.761 Ni
0.333 0.667 0.239 Ni
```

The space-group type is No. 162. As for the crystal system: trigonal. The value obtained for the energy above the most stable polymorph in this dataset is 0.410 eV/atom. The calculation puts the total moment at 10.0 μB/cell.

***

Compound: BaNiO2
Source: Alexandria via LeMat-Bulk
Functional: PBE with a Hubbard U
Structure: relaxed

Structure (POSCAR):
```
BaNiO2
1.0
-3.664 2.970 0.786
-3.436 -4.286 0.176
2.240 1.495 4.791
Ba O Ni
2 4 2
Direct
0.250 0.654 0.346 Ba
0.750 0.346 0.654 Ba
0.750 0.301 0.138 O
0.250 0.699 0.862 O
0.250 0.138 0.301 O
0.750 0.862 0.699 O
0.000 0.000 0.000 Ni
0.500 0.000 0.000 Ni
```

The space-group type is No. 63. As for the crystal system: orthorhombic. The final energy is -0.390 Ry/atom. The calculation puts the total moment at 0.0 μB/cell.

***

Compound: BaNiO2
Source: Alexandria via LeMat-Bulk
Functional: PBE with a Hubbard U
Structure: relaxed

Structure (POSCAR):
```
BaNiO2
1.0
1.918 0.000 6.628
-0.959 1.661 6.628
-0.959 -1.661 6.628
O Ni Ba
2 1 1
Direct
0.118 0.118 0.118 O
0.882 0.882 0.882 O
0.500 0.500 0.500 Ni
0.000 0.000 0.000 Ba
```

The space-group type is No. 166. As for the crystal system: trigonal. The final energy is -0.316 Ry/atom. The calculation puts the total moment at 1.5 μB/cell.

***

Compound: BaNiO
Source: Alexandria via LeMat-Bulk
Functional: PBE with a Hubbard U
Structure: relaxed

Structure (POSCAR):
```
BaNiO
1.0
3.952 -0.020 0.550
-0.016 4.167 0.230
2.832 1.538 8.449
O Ni Ba
2 2 2
Direct
0.217 0.452 0.868 O
0.692 0.709 0.391 O
0.742 0.466 0.843 Ni
0.451 0.581 0.633 Ni
0.137 0.168 0.447 Ba
0.030 0.863 0.055 Ba
```

The space-group type is No. 1. As for the crystal system: triclinic. The value obtained for the energy above the most stable polymorph in this dataset is 0.182 eV/atom. The calculation puts the total moment at 0.4 μB/cell.